La2CoAu, relaxed, DFT PBE; electronic total energy = -5.2215 eV per atom; magnetic moment = 0.00 μB/cell; volume = 208.73 Å³/cell; Fermi-level density of states = 9.63 states/eV per cell; SG = No. 122
1.0
-0.970 -7.481 1.252
5.214 0.259 5.588
-0.449 -2.882 5.785
La Au Co
4 2 2
Cartesian
-0.020 -5.004 2.867
2.979 -1.853 5.156
3.126 -8.493 10.056
1.505 -4.857 7.173
0.000 0.000 0.000
0.352 -6.987 5.229
2.122 -3.611 3.420
3.443 -3.117 7.397

=====

La4CoAu, relaxed, DFT PBE; excess energy over the best structure of this formula in the dataset = 909.1 meV per atom; electronic total energy = -4.4029 eV per atom; magnetic moment = 1.70 μB/cell; volume = 174.58 Å³/cell; Fermi-level density of states = 10.89 states/eV per cell; SG = No. 216
1.0
0.000 4.436 4.436
4.436 0.000 4.436
4.436 4.436 0.000
Co La Au
1 4 1
Cartesian
0.000 0.000 0.000
5.546 3.326 5.546
5.546 5.546 3.326
3.326 3.326 3.326
3.326 5.546 5.546
6.654 6.654 6.654

=====

La4CoAu, relaxed, DFT PBE; excess energy over the best structure of this formula in the dataset = 0.0 meV per atom; electronic total energy = -5.3120 eV per atom; magnetic moment = 0.00 μB/cell; volume = 377.59 Å³/cell; Fermi-level density of states = 14.29 states/eV per cell; SG = No. 15
1.0
-0.960 2.845 -6.323
3.572 -6.264 -1.855
-7.762 -1.795 3.491
La Co Au
8 2 2
Cartesian
-7.392 -0.157 -3.271
-1.363 -6.145 -1.539
-2.175 -2.484 -0.522
-0.122 -0.312 -3.691
-5.028 -4.902 -0.995
-2.975 -2.729 -4.164
2.243 -5.056 -1.415
-3.786 0.932 -3.146
-1.829 1.532 -4.844
-3.321 -6.746 0.159
-5.125 -1.940 -2.033
-0.025 -3.273 -2.653

=====

La2CoAu, relaxed, DFT PBE; electronic total energy = -5.2204 eV per atom; magnetic moment = 0.00 μB/cell; volume = 92.86 Å³/cell; Fermi-level density of states = 4.29 states/eV per cell; SG = No. 119
1.0
-0.268 -1.426 -5.625
4.482 -3.045 -2.095
-3.540 -0.377 4.591
La Co Au
2 1 1
Cartesian
1.524 -2.829 -0.682
0.000 0.000 0.000
-0.850 -2.019 -2.447
2.107 -2.236 -3.860

=====

LaCoAu2, relaxed, DFT PBE; electronic total energy = -4.6957 eV per atom; magnetic moment = 1.89 μB/cell; volume = 195.21 Å³/cell; Fermi-level density of states = 6.25 states/eV per cell; SG = No. 122
1.0
4.740 0.000 0.000
0.000 4.740 0.000
2.370 2.370 8.687
Au La Co
4 2 2
Cartesian
1.723 3.555 2.172
3.018 1.185 2.172
5.926 5.388 6.515
3.555 4.093 6.515
4.740 2.370 4.343
0.000 0.000 0.000
2.370 2.370 0.000
2.370 4.740 4.343

=====

La2CoAu, relaxed, DFT PBE; electronic total energy = -5.4342 eV per atom; magnetic moment = 0.00 μB/cell; volume = 97.23 Å³/cell; Fermi-level density of states = 3.90 states/eV per cell; SG = No. 10
1.0
-1.125 0.152 3.445
-2.428 -2.667 -0.675
3.141 -7.037 1.337
La Co Au
2 1 1
Cartesian
0.738 -9.416 0.658
0.332 -5.140 0.336
-0.028 -7.202 2.219
-0.384 -2.350 1.888

=====

La4CoAu, relaxed, DFT PBE; excess energy over the best structure of this formula in the dataset = 56.5 meV per atom; electronic total energy = -5.2555 eV per atom; magnetic moment = 0.00 μB/cell; volume = 351.58 Å³/cell; Fermi-level density of states = 12.37 states/eV per cell; SG = No. 59
1.0
5.614 0.000 -0.194
0.000 7.347 0.000
0.293 0.000 8.514
La Co Au
8 2 2
Cartesian
4.310 7.105 2.683
4.310 3.916 2.683
1.596 3.431 5.637
1.478 1.837 2.050
1.596 0.242 5.637
4.429 5.510 6.271
4.490 1.837 7.982
1.417 5.510 0.338
1.687 1.837 8.174
4.220 5.510 0.146
1.527 5.510 3.395
4.380 1.837 4.926

=====

LaCoAu2, relaxed, DFT PBE; electronic total energy = -4.8730 eV per atom; magnetic moment = 0.23 μB/cell; volume = 78.31 Å³/cell; Fermi-level density of states = 3.08 states/eV per cell; SG = No. 71
1.0
5.680 0.021 0.056
2.785 4.951 -0.056
-3.943 -2.979 2.801
Au La Co
2 1 1
Cartesian
4.483 2.633 0.000
8.215 4.824 0.000
1.537 2.229 1.373
2.985 -0.236 1.429

=====

La5Co2Au, relaxed, DFT PBE; electronic total energy = -5.5568 eV per atom; magnetic moment = 0.00 μB/cell; volume = 426.08 Å³/cell; Fermi-level density of states = 19.56 states/eV per cell; SG = No. 140
1.0
7.010 0.000 -3.309
-1.562 6.834 -3.309
-0.056 -0.070 8.962
Co La Au
4 10 2
Cartesian
1.219 5.925 -4.084
4.229 0.909 -2.534
5.089 4.325 -4.964
0.359 2.508 -1.655
2.806 2.001 -0.164
2.587 4.763 2.508
2.724 3.417 -3.309
0.814 5.418 -1.247
4.578 1.346 3.591
1.343 0.166 5.817
-0.649 3.583 4.734
0.000 0.000 0.000
4.049 6.598 -3.473
6.041 3.181 -2.390
1.334 1.674 2.826
4.058 5.090 -0.483

=====

LaCoAu2, relaxed, DFT PBE; electronic total energy = -4.8300 eV per atom; magnetic moment = 0.41 μB/cell; volume = 79.83 Å³/cell; Fermi-level density of states = 4.69 states/eV per cell; SG = No. 119
1.0
-4.541 2.340 -1.081
-3.083 -0.480 4.187
4.912 1.717 -0.440
La Au Co
1 2 1
Cartesian
-1.721 2.494 0.016
-0.992 1.084 2.650
0.000 0.000 0.000
-3.812 0.930 1.553

=====

LaCoAu2, relaxed, DFT PBE; electronic total energy = -4.8148 eV per atom; magnetic moment = 1.64 μB/cell; volume = 82.91 Å³/cell; Fermi-level density of states = 4.98 states/eV per cell; SG = No. 123
1.0
-1.672 -3.152 -0.228
2.185 -0.966 -2.660
4.142 -2.509 4.313
Co Au La
1 2 1
Cartesian
1.292 -2.686 -0.366
1.896 -1.148 1.975
0.175 -0.106 0.182
3.363 -3.941 1.791

=====

La2CoAu, relaxed, DFT PBE; electronic total energy = -5.3214 eV per atom; magnetic moment = 0.00 μB/cell; volume = 110.45 Å³/cell; Fermi-level density of states = 4.06 states/eV per cell; SG = No. 99
1.0
4.249 0.000 0.000
0.000 4.245 0.000
0.000 0.000 6.123
La Co Au
2 1 1
Cartesian
0.000 0.000 5.452
2.124 2.123 1.912
2.124 2.123 5.506
0.000 0.000 2.439

=====

La2CoAu, relaxed, DFT PBE; electronic total energy = -5.4567 eV per atom; magnetic moment = 0.00 μB/cell; volume = 100.43 Å³/cell; Fermi-level density of states = 3.30 states/eV per cell; SG = No. 6
1.0
-1.823 -2.993 -2.844
-0.897 -2.484 3.190
-5.222 1.167 2.118
La Co Au
2 1 1
Cartesian
-2.741 -1.860 0.133
-5.537 -1.428 5.050
-5.756 -1.803 2.004
-3.088 -1.197 3.238

=====

La12Co5Au3, relaxed, DFT PBE; electronic total energy = -5.3977 eV per atom; magnetic moment = 0.00 μB/cell; volume = 2418.49 Å³/cell; Fermi-level density of states = 76.76 states/eV per cell; SG = No. 230
1.0
14.646 0.000 0.000
-4.882 13.808 0.000
-4.882 -6.904 11.958
Co La Au
20 48 12
Cartesian
0.000 0.000 0.000
4.882 -3.452 5.979
-2.441 6.904 0.000
-3.662 7.767 4.484
8.544 -0.863 7.474
1.221 4.315 10.464
6.103 -4.315 10.464
2.441 3.452 5.979
3.662 2.589 1.495
1.221 -3.452 8.969
6.103 6.041 4.484
6.103 3.452 8.969
-1.221 11.219 1.495
4.882 6.904 0.000
-1.221 3.452 2.990
-1.221 0.863 7.474
7.323 0.000 0.000
-4.882 3.452 5.979
3.662 10.356 2.990
-2.441 -3.452 5.979
6.641 6.844 2.134
4.239 -1.814 3.846
-4.741 5.409 11.606
-2.582 3.010 7.450
9.121 0.785 5.627
-3.084 7.933 9.473
9.623 1.495 0.352
-1.184 8.072 4.964
8.580 -4.883 10.488
10.446 6.964 2.134
2.300 9.304 4.861
6.680 7.689 6.331
1.759 1.878 10.944
-1.798 -0.785 5.627
5.525 5.876 9.473
-1.257 4.883 10.488
-0.682 5.086 1.119
-2.582 -5.409 11.606
3.084 1.814 3.846
3.123 8.722 1.119
-0.682 8.782 1.015
1.798 5.091 8.113
3.123 5.027 1.015
6.139 10.620 3.494
-5.564 -0.060 9.825
3.625 5.736 4.964
6.139 2.021 1.471
-0.643 1.028 2.486
-5.023 9.914 4.508
2.582 -2.400 7.098
7.464 3.895 4.508
5.564 1.818 10.840
10.948 3.189 3.494
-6.066 3.715 8.465
5.564 -1.878 10.944
6.066 -1.168 6.994
7.966 -1.028 2.486
1.257 1.168 6.994
-1.759 0.060 9.825
-3.698 11.787 1.471
1.759 -1.818 10.840
-4.239 6.119 6.331
0.141 4.505 4.861
9.905 -3.010 7.450
0.643 8.718 8.113
7.464 12.313 0.352
4.741 2.400 7.098
-1.257 -3.715 8.465
3.662 7.767 7.474
-3.662 -2.589 10.464
1.221 -0.863 4.484
1.221 6.904 2.990
-1.221 6.041 7.474
10.985 0.000 2.990
-6.103 6.904 8.969
8.544 4.315 1.495
6.103 0.863 4.484
-3.662 2.589 10.464
8.544 9.493 1.495
3.662 0.000 8.969

=====

La14Co3Au6, relaxed, DFT PBE; electronic total energy = -5.2343 eV per atom; magnetic moment = 0.00 μB/cell; volume = 684.46 Å³/cell; Fermi-level density of states = 28.51 states/eV per cell; SG = No. 156
1.0
7.223 0.000 0.000
0.000 9.059 -5.230
0.000 0.000 10.460
Co La Au
3 14 6
Cartesian
2.202 3.020 5.230
3.175 6.039 0.000
5.750 0.000 0.000
3.334 0.000 0.000
0.005 6.807 5.229
1.538 8.422 -0.001
7.016 3.020 5.230
0.005 1.127 8.511
3.689 1.895 7.176
4.915 7.201 2.010
4.915 3.718 0.001
3.689 1.897 3.283
3.689 5.267 5.231
1.538 4.849 2.064
0.005 1.125 1.950
4.915 7.199 -2.011
1.538 4.847 -2.063
1.951 7.739 2.940
5.646 0.360 5.228
5.646 4.348 7.535
1.951 7.735 -2.942
1.951 2.643 0.002
5.646 4.351 2.928

=====

La8Co3Au2, relaxed, DFT PBE; electronic total energy = -5.4648 eV per atom; magnetic moment = 0.00 μB/cell; volume = 409.92 Å³/cell; Fermi-level density of states = 12.27 states/eV per cell; SG = No. 12
1.0
-5.105 0.638 4.743
1.756 -7.276 2.868
5.567 6.417 1.670
Au La Co
2 8 3
Cartesian
0.576 -1.859 6.133
1.643 1.638 3.149
1.536 4.459 4.520
-2.488 -2.456 6.494
-3.227 1.174 4.953
4.707 2.235 2.788
0.683 -4.680 4.762
-0.234 -0.879 3.263
5.446 -1.395 4.329
2.453 0.658 6.018
1.310 -5.430 2.141
-2.552 0.319 2.372
0.446 -1.846 0.728

=====

La4CoAu2, relaxed, DFT PBE; excess energy over the best structure of this formula in the dataset = 0.0 meV per atom; electronic total energy = -5.2784 eV per atom; magnetic moment = 0.00 μB/cell; volume = 202.98 Å³/cell; Fermi-level density of states = 6.60 states/eV per cell; SG = No. 12
1.0
-3.321 1.485 1.821
-0.536 -3.292 6.249
2.714 4.916 5.484
La Co Au
4 1 2
Cartesian
-0.081 3.056 10.990
-1.061 0.053 2.564
1.360 2.515 4.972
-2.503 0.594 8.582
0.000 0.000 0.000
0.296 2.019 7.980
-1.439 1.090 5.574

=====

La2CoAu, relaxed, DFT PBE; electronic total energy = -5.4459 eV per atom; magnetic moment = 0.00 μB/cell; volume = 106.42 Å³/cell; Fermi-level density of states = 1.88 states/eV per cell; SG = No. 12
1.0
-3.632 1.817 0.414
-3.359 -2.258 0.531
-1.371 0.128 7.618
La Au Co
2 1 1
Cartesian
-6.952 -0.430 1.234
-4.222 -0.168 3.992
-6.272 -0.235 6.422
-2.091 -0.078 2.141

=====

La2CoAu, relaxed, DFT PBE; electronic total energy = -5.2076 eV per atom; magnetic moment = 0.82 μB/cell; volume = 86.92 Å³/cell; Fermi-level density of states = 6.92 states/eV per cell; SG = No. 216
1.0
-0.197 -4.231 2.605
3.911 -3.069 0.055
2.710 -0.500 4.139
La Co Au
2 1 1
Cartesian
1.606 -1.950 1.700
0.000 0.000 0.000
4.818 -5.850 5.099
3.212 -3.900 3.400

=====

LaCo3Au, relaxed, DFT PBE; excess energy over the best structure of this formula in the dataset = 0.0 meV per atom; electronic total energy = -5.1689 eV per atom; magnetic moment = 5.08 μB/cell; volume = 106.73 Å³/cell; Fermi-level density of states = 10.02 states/eV per cell; SG = No. 221
1.0
4.744 0.000 0.000
0.000 4.744 0.000
0.000 0.000 4.744
Co La Au
3 1 1
Cartesian
2.372 0.000 0.000
0.000 2.372 0.000
0.000 0.000 2.372
2.372 2.372 2.372
0.000 0.000 0.000

=====

La2CoAu, relaxed, DFT PBE; electronic total energy = -5.2933 eV per atom; magnetic moment = 0.59 μB/cell; volume = 116.18 Å³/cell; Fermi-level density of states = 4.89 states/eV per cell; SG = No. 160
1.0
7.453 -0.112 -0.069
6.232 4.088 -0.069
6.232 1.810 3.666
Co Au La
1 1 2
Cartesian
15.781 4.584 2.796
9.126 2.651 1.617
0.713 0.207 0.126
4.257 1.237 0.754

=====

LaCoAu2, relaxed, DFT PBE; electronic total energy = -4.8367 eV per atom; magnetic moment = 0.00 μB/cell; volume = 78.53 Å³/cell; Fermi-level density of states = 1.46 states/eV per cell; SG = No. 123
1.0
-0.674 0.065 4.059
-0.901 -4.017 -0.085
4.458 -1.015 0.756
Co Au La
1 2 1
Cartesian
1.892 -0.475 2.408
0.000 0.000 0.000
-0.787 -1.976 1.987
1.779 -2.516 0.335

=====

| no. | DFT formation energy (eV/atom) |
| --- | --- |
| 1 | -0.16 |
| 2 | 0.61 |
| 3 | -0.30 |
| 4 | -0.16 |
| 5 | -0.05 |
| 6 | -0.37 |
| 7 | -0.24 |
| 8 | -0.23 |
| 9 | -0.29 |
| 10 | -0.18 |
| 11 | -0.17 |
| 12 | -0.26 |
| 13 | -0.40 |
| 14 | -0.17 |
| 15 | -0.45 |
| 16 | -0.29 |
| 17 | -0.51 |
| 18 | -0.39 |
| 19 | -0.15 |
| 20 | 0.74 |
| 21 | -0.23 |
| 22 | -0.19 |